GeICl | PBE-GGA | optimized geometry

Structure (POSCAR):
```
GeICl
1.0
4.081 0.000 0.000
2.008 7.482 0.000
2.032 2.222 8.307
Ge I Cl
2 2 2
direct
0.174 0.038 0.115 Ge
0.826 0.962 0.885 Ge
0.479 0.776 0.761 I
0.521 0.224 0.239 I
0.214 0.769 0.299 Cl
0.786 0.231 0.701 Cl
```

Calculated values
- E_form (uncorrected): -0.50 eV per atom
- SG: P-1